Record 1
# CuAsIr2 PBE relaxed
# DOS at the Fermi energy: 1.43 states/eV per atom
# electronic total energy: -6.3161 eV/atom
# SG: No. 119
# E_form: 1.20 eV/f.u.
data_CuAsIr2
_space_group_name_H-M_alt 'P 1'
_space_group_IT_number 1
_space_group_name_Hall 'P 1'
_cell_length_a 4.777
_cell_length_b 4.777
_cell_length_c 4.777
_cell_angle_alpha 132.69
_cell_angle_beta 132.69
_cell_angle_gamma 69.14
loop_
_atom_site_label
_atom_site_type_symbol
_atom_site_fract_x
_atom_site_fract_y
_atom_site_fract_z
As1 As 0.500 0.500 0.000
Ir1 Ir 0.250 0.750 0.500
Cu1 Cu 0.750 0.250 0.500
Ir2 Ir 0.000 0.000 0.000


Record 2
# CuAsIr PBE relaxed
# energy relative to the lowest polymorph listed for this composition: 22.6 kJ/mol of atoms
# DOS at the Fermi energy: 0.32 states/eV per atom
# electronic total energy: -5.5739 eV/atom
# SG: No. 42
# E_form: 0.88 eV/f.u.
data_CuAsIr
_space_group_name_H-M_alt 'P 1'
_space_group_IT_number 1
_space_group_name_Hall 'P 1'
_cell_length_a 7.002
_cell_length_b 6.716
_cell_length_c 2.827
_cell_angle_alpha 83.85
_cell_angle_beta 72.48
_cell_angle_gamma 23.67
loop_
_atom_site_label
_atom_site_type_symbol
_atom_site_fract_x
_atom_site_fract_y
_atom_site_fract_z
Ir1 Ir 0.665 0.665 0.335
As1 As 0.005 0.005 0.995
Cu1 Cu 0.330 0.330 0.670


Record 3
# CuAsIr PBE relaxed
# energy relative to the lowest polymorph listed for this composition: 3.2 kJ/mol of atoms
# DOS at the Fermi energy: 0.53 states/eV per atom
# electronic total energy: -5.7746 eV/atom
# SG: No. 187
# E_form: 0.28 eV/f.u.
data_CuAsIr
_space_group_name_H-M_alt 'P 1'
_space_group_IT_number 1
_space_group_name_Hall 'P 1'
_cell_length_a 4.193
_cell_length_b 4.193
_cell_length_c 2.960
_cell_angle_alpha 90.00
_cell_angle_beta 90.00
_cell_angle_gamma 120.00
loop_
_atom_site_label
_atom_site_type_symbol
_atom_site_fract_x
_atom_site_fract_y
_atom_site_fract_z
Cu1 Cu 0.333 0.667 0.333
As1 As 0.000 0.000 0.834
Ir1 Ir 0.667 0.333 0.833


Record 4
# CuAsIr2 PBE relaxed
# DOS at the Fermi energy: 1.00 states/eV per atom
# electronic total energy: -6.4301 eV/atom
# SG: No. 25
# E_form: 0.75 eV/f.u.
data_CuAsIr2
_space_group_name_H-M_alt 'P 1'
_space_group_IT_number 1
_space_group_name_Hall 'P 1'
_cell_length_a 2.852
_cell_length_b 3.854
_cell_length_c 5.275
_cell_angle_alpha 90.00
_cell_angle_beta 90.00
_cell_angle_gamma 90.00
loop_
_atom_site_label
_atom_site_type_symbol
_atom_site_fract_x
_atom_site_fract_y
_atom_site_fract_z
Cu1 Cu 0.500 0.500 0.778
Ir1 Ir 0.000 0.000 0.974
As1 As 0.000 0.000 0.479
Ir2 Ir 0.500 0.500 0.269


Record 5
# CuAsIr2 PBE relaxed
# DOS at the Fermi energy: 1.06 states/eV per atom
# electronic total energy: -6.2731 eV/atom
# SG: No. 65
# E_form: 1.38 eV/f.u.
data_CuAsIr2
_space_group_name_H-M_alt 'P 1'
_space_group_IT_number 1
_space_group_name_Hall 'P 1'
_cell_length_a 2.775
_cell_length_b 2.775
_cell_length_c 8.800
_cell_angle_alpha 90.00
_cell_angle_beta 90.00
_cell_angle_gamma 118.90
loop_
_atom_site_label
_atom_site_type_symbol
_atom_site_fract_x
_atom_site_fract_y
_atom_site_fract_z
Cu1 Cu 0.500 0.500 0.750
Ir1 Ir 0.000 0.000 0.996
Ir2 Ir 0.000 0.000 0.504
As1 As 0.500 0.500 0.250


Record 6
# Cu2AsIr2 PBE relaxed
# DOS at the Fermi energy: 0.56 states/eV per atom
# electronic total energy: -5.9428 eV/atom
# SG: No. 127
# E_form: 0.85 eV/f.u.
data_Cu2AsIr2
_space_group_name_H-M_alt 'P 1'
_space_group_IT_number 1
_space_group_name_Hall 'P 1'
_cell_length_a 6.205
_cell_length_b 6.205
_cell_length_c 3.996
_cell_angle_alpha 90.00
_cell_angle_beta 90.00
_cell_angle_gamma 90.00
loop_
_atom_site_label
_atom_site_type_symbol
_atom_site_fract_x
_atom_site_fract_y
_atom_site_fract_z
Cu1 Cu 0.852 0.352 0.500
Ir1 Ir 0.852 0.648 0.000
Ir2 Ir 0.148 0.352 0.000
Cu2 Cu 0.352 0.148 0.500
Ir3 Ir 0.648 0.148 0.000
Cu3 Cu 0.148 0.648 0.500
Cu4 Cu 0.648 0.852 0.500
As1 As 0.500 0.500 0.000
Ir4 Ir 0.352 0.852 0.000
As2 As 0.000 0.000 0.000


Record 7
# CuAsIr PBE relaxed
# energy relative to the lowest polymorph listed for this composition: 1.2 kJ/mol of atoms
# DOS at the Fermi energy: 0.35 states/eV per atom
# electronic total energy: -5.7949 eV/atom
# SG: No. 44
# E_form: 0.22 eV/f.u.
data_CuAsIr
_space_group_name_H-M_alt 'P 1'
_space_group_IT_number 1
_space_group_name_Hall 'P 1'
_cell_length_a 4.651
_cell_length_b 4.651
_cell_length_c 4.651
_cell_angle_alpha 142.51
_cell_angle_beta 134.74
_cell_angle_gamma 60.18
loop_
_atom_site_label
_atom_site_type_symbol
_atom_site_fract_x
_atom_site_fract_y
_atom_site_fract_z
Cu1 Cu 0.330 0.330 0.000
Ir1 Ir 0.660 0.660 0.000
As1 As 0.010 0.010 0.000


Record 8
# CuAsIr2 PBE relaxed
# DOS at the Fermi energy: 0.48 states/eV per atom
# electronic total energy: -6.4731 eV/atom
# SG: No. 123
# E_form: 0.58 eV/f.u.
data_CuAsIr2
_space_group_name_H-M_alt 'P 1'
_space_group_IT_number 1
_space_group_name_Hall 'P 1'
_cell_length_a 3.079
_cell_length_b 3.079
_cell_length_c 5.960
_cell_angle_alpha 90.00
_cell_angle_beta 90.00
_cell_angle_gamma 90.00
loop_
_atom_site_label
_atom_site_type_symbol
_atom_site_fract_x
_atom_site_fract_y
_atom_site_fract_z
Cu1 Cu 0.500 0.500 0.750
Ir1 Ir 0.000 0.000 0.502
As1 As 0.500 0.500 0.250
Ir2 Ir 0.000 0.000 0.998


Record 9
# CuAsIr2 PBE relaxed
# DOS at the Fermi energy: 1.27 states/eV per atom
# electronic total energy: -6.4088 eV/atom
# SG: No. 160
# E_form: 0.83 eV/f.u.
data_CuAsIr2
_space_group_name_H-M_alt 'P 1'
_space_group_IT_number 1
_space_group_name_Hall 'P 1'
_cell_length_a 8.528
_cell_length_b 8.528
_cell_length_c 8.528
_cell_angle_alpha 19.20
_cell_angle_beta 19.20
_cell_angle_gamma 19.20
loop_
_atom_site_label
_atom_site_type_symbol
_atom_site_fract_x
_atom_site_fract_y
_atom_site_fract_z
Ir1 Ir 0.247 0.247 0.247
As1 As 0.500 0.500 0.500
Ir2 Ir 0.002 0.002 0.002
Cu1 Cu 0.751 0.751 0.751


Record 10
# CuAsIr2 PBE relaxed
# DOS at the Fermi energy: 0.93 states/eV per atom
# electronic total energy: -6.4370 eV/atom
# SG: No. 123
# E_form: 0.72 eV/f.u.
data_CuAsIr2
_space_group_name_H-M_alt 'P 1'
_space_group_IT_number 1
_space_group_name_Hall 'P 1'
_cell_length_a 4.058
_cell_length_b 4.058
_cell_length_c 3.435
_cell_angle_alpha 90.00
_cell_angle_beta 90.00
_cell_angle_gamma 89.99
loop_
_atom_site_label
_atom_site_type_symbol
_atom_site_fract_x
_atom_site_fract_y
_atom_site_fract_z
Ir1 Ir 0.500 0.500 0.000
Ir2 Ir 0.000 0.000 0.000
As1 As 0.500 0.000 0.500
Cu1 Cu 0.000 0.500 0.500


Record 11
# Cu3AsIr PBE relaxed
# energy relative to the lowest polymorph listed for this composition: 23.0 kJ/mol of atoms
# DOS at the Fermi energy: 1.29 states/eV per atom
# electronic total energy: -3.9805 eV/atom
# SG: No. 221
# E_form: 5.90 eV/f.u.
data_Cu3AsIr
_space_group_name_H-M_alt 'P 1'
_space_group_IT_number 1
_space_group_name_Hall 'P 1'
_cell_length_a 4.627
_cell_length_b 4.627
_cell_length_c 4.627
_cell_angle_alpha 90.00
_cell_angle_beta 90.00
_cell_angle_gamma 90.00
loop_
_atom_site_label
_atom_site_type_symbol
_atom_site_fract_x
_atom_site_fract_y
_atom_site_fract_z
Cu1 Cu 0.500 0.000 0.000
Cu2 Cu 0.000 0.000 0.500
As1 As 0.500 0.500 0.500
Cu3 Cu 0.000 0.500 0.000
Ir1 Ir 0.000 0.000 0.000


Record 12
# CuAsIr3 PBE relaxed
# energy relative to the lowest polymorph listed for this composition: 0.0 kJ/mol of atoms
# DOS at the Fermi energy: 1.77 states/eV per atom
# electronic total energy: -5.8531 eV/atom
# SG: No. 221
# E_form: 6.06 eV/f.u.
data_CuAsIr3
_space_group_name_H-M_alt 'P 1'
_space_group_IT_number 1
_space_group_name_Hall 'P 1'
_cell_length_a 4.543
_cell_length_b 4.543
_cell_length_c 4.543
_cell_angle_alpha 90.00
_cell_angle_beta 90.00
_cell_angle_gamma 90.00
loop_
_atom_site_label
_atom_site_type_symbol
_atom_site_fract_x
_atom_site_fract_y
_atom_site_fract_z
Cu1 Cu 0.500 0.500 0.500
Ir1 Ir 0.500 0.000 0.000
Ir2 Ir 0.000 0.000 0.500
As1 As 0.000 0.000 0.000
Ir3 Ir 0.000 0.500 0.000